VASP calculation (GGA-PBEsol) on a relaxed Cd2Co crystal.

Output
Total energy: -2.9640 eV per atom
Total magnetization: 0.416 μB/atom
Crystal system: hexagonal
E_form: 0.413 eV/atom

abc: 4.5840 4.5840 2.7458
angles: 90.00 90.00 120.00
Last column: nearest neighbours and their distance in Å.
Space group P6/mmm (No. 191)
Symmetry-distinct sites (fractional):
Cd: 0.3333 0.6667 0.0000 x2  5 Cd 2.65-2.75
Co: 0.0000 0.0000 0.5000 x1  2 Co 2.75, 12 Cd 2.98